# 1
The following is a PBE-GGA calculation of a geometry-optimized LiCaPd structure, from Alexandria via LeMat-Bulk.

Summary:
ΔE_f in eV per atom: -0.42
Space group: P-6m2 (187)
Excess energy over the best structure of this formula in the dataset in eV/f.u.: 0.15

Unit cell a=3.8541 b=4.3881 c=4.3881 alpha=120.00 beta=90.00 gamma=90.00
Fractional positions:
Ca 0.6667 0.6667 0.3333
Pd 0.1665 0.3333 0.6667
Li 0.1668 0.0000 0.0000


# 2
The following is a PBE-GGA calculation of a geometry-optimized TaCr3Pd structure, from Alexandria via LeMat-Bulk.

Summary:
ΔE_f in eV per atom: 1.83
Space group: Pm-3m (221)
Excess energy over the best structure of this formula in the dataset in eV/f.u.: 0.00

Unit cell a=4.4589 b=4.4589 c=4.4589 alpha=90.00 beta=90.00 gamma=90.00
Fractional positions:
Cr 0.0000 0.0000 0.5000
Cr 0.0000 0.5000 0.0000
Cr 0.5000 0.0000 0.0000
Ta 0.0000 0.0000 0.0000
Pd 0.5000 0.5000 0.5000


# 3
The following is a PBE-GGA calculation of a geometry-optimized PaCrCoP2 structure, from Alexandria via LeMat-Bulk.

Summary:
ΔE_f in eV per atom: -0.86
Space group: I-4m2 (119)

Unit cell a=3.8981 b=3.8981 c=5.5167 alpha=110.69 beta=110.69 gamma=90.00
Fractional positions:
Pa 0.0000 0.0000 0.0000
P 0.6329 0.6329 0.2657
P 0.3671 0.3671 0.7343
Co 0.2500 0.7500 0.5000
Cr 0.7500 0.2500 0.5000


# 4
The following is a PBE-GGA calculation of a geometry-optimized ZrTcNi2 structure, from Alexandria via LeMat-Bulk.

Summary:
ΔE_f in eV per atom: -0.19
Space group: P4/mmm (123)
Excess energy over the best structure of this formula in the dataset in eV/f.u.: 0.29

Unit cell a=3.8836 b=3.8827 c=3.7971 alpha=90.00 beta=90.00 gamma=90.00
Fractional positions:
Tc 0.5000 0.0000 0.5000
Zr 0.0000 0.5000 0.5000
Ni 0.5000 0.5000 0.0000
Ni 0.0000 0.0000 0.0000


# 5
The following is a PBE-GGA calculation of a geometry-optimized TaTlMo2 structure, from Alexandria via LeMat-Bulk.

Summary:
ΔE_f in eV per atom: 0.35
Space group: P4mm (99)
Excess energy over the best structure of this formula in the dataset in eV/f.u.: 0.06

Unit cell a=3.4290 b=3.4310 c=6.1816 alpha=90.00 beta=90.00 gamma=90.00
Fractional positions:
Ta 0.0000 0.0000 0.4658
Mo 0.0000 0.0000 0.0313
Mo 0.5000 0.5000 0.2474
Tl 0.5000 0.5000 0.7555


# 6
The following is a PBE-GGA calculation of a geometry-optimized ZrBe6Cu6 structure, from Alexandria via LeMat-Bulk.

Summary:
ΔE_f in eV per atom: -0.16
Space group: Immm (71)

Unit cell a=4.4334 b=6.0458 c=6.0458 alpha=82.16 beta=68.49 gamma=68.49
Fractional positions:
Be 0.0000 0.5000 0.0000
Be 0.5000 0.2318 0.7682
Be 0.0000 0.0000 0.5000
Be 0.5000 0.0000 0.5000
Be 0.5000 0.7682 0.2318
Be 0.5000 0.5000 0.0000
Zr 0.0000 0.0000 0.0000
Cu 0.0000 0.3471 0.6529
Cu 0.3497 0.6503 0.6503
Cu 0.6503 0.3497 0.3497
Cu 0.0000 0.6529 0.3471
Cu 0.6996 0.8004 0.8004
Cu 0.3004 0.1996 0.1996


# 7
The following is a PBE-GGA calculation of a geometry-optimized La2MnTe structure, from Alexandria via LeMat-Bulk.

Summary:
Raw formation energy in eV per atom: -0.332
Space group: I4/mmm (139)

Unit cell a=5.7221 b=5.7221 c=5.7221 alpha=127.49 beta=127.49 gamma=77.45
Each line ends with the local moment (μB).
Fractional positions:
Mn 0.2500 0.7500 0.5000  3.78
La 0.0000 0.0000 0.0000  -0.23
La 0.5000 0.5000 0.0000  -0.23
Te 0.7500 0.2500 0.5000  0.05


# 8
The following is a PBE-GGA calculation of a geometry-optimized KSb2F8 structure, from Alexandria via LeMat-Bulk.

Summary:
Raw formation energy in eV per atom: -2.370
Space group: C2/m (12)

Unit cell a=5.0270 b=6.3225 c=6.3225 alpha=66.28 beta=87.51 gamma=87.51
Fractional positions:
F 0.2551 0.4968 0.4968
F 0.4141 0.0554 0.6600
F 0.8835 0.7501 0.7501
F 0.5859 0.3400 0.9446
F 0.4141 0.6600 0.0554
F 0.7449 0.5032 0.5032
F 0.5859 0.9446 0.3400
F 0.1165 0.2499 0.2499
Sb 0.5343 0.6743 0.6743
Sb 0.4657 0.3257 0.3257
K 0.0000 0.0000 0.0000


# 9
The following is a PBE-GGA calculation of a geometry-optimized Ta2ReSb structure, from Alexandria via LeMat-Bulk.

Summary:
Raw formation energy in eV per atom: 0.158
Space group: Pmmm (47)

Unit cell a=3.4612 b=4.5651 c=4.5058 alpha=90.00 beta=90.00 gamma=90.00
Fractional positions:
Ta 0.5000 0.5000 0.0000
Ta 0.0000 0.0000 0.0000
Sb 0.0000 0.5000 0.5000
Re 0.5000 0.0000 0.5000


# 10
The following is a PBE-GGA calculation of a geometry-optimized BaFeSb2 structure, from Alexandria via LeMat-Bulk.

Summary:
Raw formation energy in eV per atom: -0.281
Space group: R-3m (166)

Unit cell a=7.1994 b=7.1994 c=7.1994 alpha=34.96 beta=34.96 gamma=34.96
Each line ends with the local moment (μB).
Fractional positions:
Sb 0.4657 0.4657 0.4657  -0.05
Sb 0.0343 0.0343 0.0343  -0.05
Ba 0.2500 0.2500 0.2500  -0.04
Fe 0.7500 0.7500 0.7500  1.55


# 11
The following is a PBE-GGA calculation of a geometry-optimized CdBAs2Ru structure, from Alexandria via LeMat-Bulk.

Summary:
ΔE_f in eV per atom: 1.82
Space group: P4/mmm (123)

Unit cell a=5.1543 b=4.0365 c=5.1543 alpha=90.00 beta=90.00 gamma=90.00
Each line ends with the local moment (μB).
Fractional positions:
As 0.5000 0.0000 0.0000  -0.04
As 0.0000 0.0000 0.5000  -0.03
B 0.0000 0.5000 0.0000  -0.02
Ru 0.5000 0.5000 0.5000  1.90
Cd 0.0000 0.0000 0.0000  0.00


# 12
The following is a PBE-GGA calculation of a geometry-optimized K2Sb3Pt2 structure, from Alexandria via LeMat-Bulk.

Summary:
Raw formation energy in eV per atom: -0.414
Space group: P2_1/m (11)
Excess energy over the best structure of this formula in the dataset in eV/f.u.: 0.00

Unit cell a=6.9396 b=7.1415 c=12.0301 alpha=90.00 beta=132.74 gamma=90.00
Fractional positions:
K 0.2261 0.7500 0.2346
K 0.9245 0.7500 0.6991
K 0.7739 0.2500 0.7654
K 0.0755 0.2500 0.3009
Sb 0.6011 0.5385 0.9296
Sb 0.2428 0.7500 0.5416
Sb 0.6011 0.9615 0.9296
Sb 0.7572 0.2500 0.4584
Sb 0.3989 0.0385 0.0704
Sb 0.3989 0.4615 0.0704
Pt 0.2143 0.0584 0.6508
Pt 0.7857 0.5584 0.3492
Pt 0.2143 0.4416 0.6508
Pt 0.7857 0.9416 0.3492


V
In order: 64; 89; 73; 57; 73; 140; 114; 184; 71; 109; 107; 438
Unit: Å³/cell